1.
DFT (PBE) results for NdSmGeAu after structural relaxation.

a = 5.2167 Å, b = 5.2167 Å, c = 5.2167 Å
α = 60.00°, β = 60.00°, γ = 60.00°
Last column: nearest neighbours and their distance in Å.
Element x y z (fractional)
Nd: 0.0000 0.0000 0.0000  4 Ge 3.19, 4 Au 3.19
Sm: 0.5000 0.5000 0.5000  4 Ge 3.19, 4 Au 3.19
Ge: 0.7500 0.7500 0.7500  4 Sm 3.19, 4 Nd 3.19
Au: 0.2500 0.2500 0.2500  4 Sm 3.19, 4 Nd 3.19

## Properties
Energy above the most stable polymorph in this dataset = 0.0809 eV/atom
Symmetry = F-43m


2.
DFT (PBE) results for Li2CaNpSe4 after structural relaxation.

a = 6.8511 Å, b = 4.1206 Å, c = 7.1091 Å
α = 90.00°, β = 109.83°, γ = 90.00°
Last column: nearest neighbours and their distance in Å.
Element x y z (fractional)
Li: 0.0000 0.0000 0.0000  6 Se 2.78-2.83
Li: 0.0000 0.5000 0.5000  6 Se 2.89-2.92
Ca: 0.5000 0.0000 0.5000  6 Se 2.93
Np: 0.5000 0.5000 0.0000  6 Se 2.79-2.86
Se: 0.2464 0.0000 0.7589  3 Li 2.78-2.89, 2 Np 2.86, 1 Ca 2.93
Se: 0.2466 0.5000 0.2354  1 Np 2.79, 3 Li 2.83-2.92, 2 Ca 2.93
Se: 0.7534 0.5000 0.7646  1 Np 2.79, 3 Li 2.83-2.92, 2 Ca 2.93
Se: 0.7536 0.0000 0.2411  3 Li 2.78-2.89, 2 Np 2.86, 1 Ca 2.93

## Properties
Symmetry = P2/m
Energy relative to the elements, uncorrected = -1365 meV per atom


3.
DFT (PBE) results for YFe2Ir after structural relaxation.

a = 9.1724 Å, b = 9.1724 Å, c = 9.1724 Å
α = 18.28°, β = 18.28°, γ = 18.28°
Last column: nearest neighbours and their distance in Å.
Element x y z (fractional)
Y: 0.0000 0.0000 0.0000  6 Y 2.91, 6 Fe 3.03
Fe: 0.2402 0.2402 0.2402  3 Ir 2.61, 6 Fe 2.91
Fe: 0.7598 0.7598 0.7598  3 Ir 2.61, 6 Fe 2.91
Ir: 0.5000 0.5000 0.5000  6 Fe 2.61, 6 Ir 2.91

## Properties
Symmetry = R-3m
E_tot = -7.5655 eV/atom


4.
DFT (PBE) results for CsSb3I after structural relaxation.

a = 6.2823 Å, b = 6.2823 Å, c = 6.2823 Å
α = 90.00°, β = 90.00°, γ = 90.00°
Last column: nearest neighbours and their distance in Å.
Element x y z (fractional)
Cs: 0.0000 0.0000 0.0000  6 Sb 3.14
Sb: 0.0000 0.0000 0.5000  2 Cs 3.14
Sb: 0.0000 0.5000 0.0000  2 Cs 3.14
Sb: 0.5000 0.0000 0.0000  2 Cs 3.14
I: 0.5000 0.5000 0.5000  12 Sb 4.44

## Properties
Energy above the most stable polymorph in this dataset = 0.8961 eV/atom
Symmetry = Pm-3m
Energy relative to the elements, uncorrected = 1439 meV per atom


5.
DFT (PBE) results for CaPrEu2 after structural relaxation.

a = 13.6835 Å, b = 13.6835 Å, c = 13.6835 Å
α = 15.64°, β = 15.64°, γ = 15.64°
Last column: nearest neighbours and their distance in Å.
Element x y z (fractional)
Ca: 0.0000 0.0000 0.0000  6 Ca 3.72, 6 Eu 3.91
Pr: 0.5000 0.5000 0.5000  2 Eu 3.49, 6 Pr 3.72
Eu: 0.4138 0.4138 0.4138  1 Pr 3.49, 6 Eu 3.72, 3 Ca 3.91
Eu: 0.5862 0.5862 0.5862  1 Pr 3.49, 6 Eu 3.72, 3 Ca 3.91

## Properties
Energy above the most stable polymorph in this dataset = 0.1446 eV/atom
Symmetry = R-3m


6.
DFT (PBE) results for UNbCdO6 after structural relaxation.

a = 5.4855 Å, b = 5.4855 Å, c = 9.3421 Å
α = 90.00°, β = 90.00°, γ = 120.00°
Last column: nearest neighbours and their distance in Å.
Element x y z (fractional)
U: 0.3333 0.6667 0.2500  6 O 2.17
U: 0.6667 0.3333 0.7500  6 O 2.17
Nb: 0.0000 0.0000 0.0000  6 O 2.03
Nb: 0.0000 0.0000 0.5000  6 O 2.03
Cd: 0.3333 0.6667 0.7500  6 O 2.34
Cd: 0.6667 0.3333 0.2500  6 O 2.34
O: 0.0253 0.3196 0.1214  1 Nb 2.03, 1 U 2.17
O: 0.0253 0.7057 0.3786  1 Nb 2.03, 1 U 2.17
O: 0.2943 0.3196 0.3786  1 Nb 2.03, 1 U 2.17
O: 0.2943 0.9747 0.1214  1 Nb 2.03, 1 U 2.17
O: 0.3196 0.0253 0.6214  1 Nb 2.03, 1 U 2.17
O: 0.3196 0.2943 0.8786  1 Nb 2.03, 1 U 2.17
O: 0.6804 0.7057 0.1214  1 Nb 2.03, 1 U 2.17
O: 0.6804 0.9747 0.3786  1 Nb 2.03, 1 U 2.17
O: 0.7057 0.0253 0.8786  1 Nb 2.03, 1 U 2.17
O: 0.7057 0.6804 0.6214  1 Nb 2.03, 1 U 2.17
O: 0.9747 0.2943 0.6214  1 Nb 2.03, 1 U 2.17
O: 0.9747 0.6804 0.8786  1 Nb 2.03, 1 U 2.17

## Properties
Symmetry = P-31c
Energy relative to the elements, uncorrected = -2400 meV per atom


7.
DFT (PBE) results for CaSi3Hg after structural relaxation.

a = 5.4159 Å, b = 5.4159 Å, c = 5.4159 Å
α = 90.00°, β = 90.00°, γ = 90.00°
Last column: nearest neighbours and their distance in Å.
Element x y z (fractional)
Ca: 0.0000 0.0000 0.0000  6 Si 2.71
Si: 0.0000 0.0000 0.5000  2 Ca 2.71
Si: 0.0000 0.5000 0.0000  2 Ca 2.71
Si: 0.5000 0.0000 0.0000  2 Ca 2.71
Hg: 0.5000 0.5000 0.5000  12 Si 3.83

## Properties
Energy above the most stable polymorph in this dataset = 0.5878 eV/atom
Symmetry = Pm-3m
Energy relative to the elements, uncorrected = 1389 meV per atom


8.
DFT (PBE) results for AcGdYCd after structural relaxation.

a = 5.6490 Å, b = 5.6490 Å, c = 5.6490 Å
α = 60.00°, β = 60.00°, γ = 60.00°
Last column: nearest neighbours and their distance in Å.
Element x y z (fractional)
Ac: 0.0000 0.0000 0.0000  4 Y 3.46, 4 Gd 3.46
Gd: 0.2500 0.2500 0.2500  4 Cd 3.46, 4 Ac 3.46
Y: 0.7500 0.7500 0.7500  4 Cd 3.46, 4 Ac 3.46
Cd: 0.5000 0.5000 0.5000  4 Y 3.46, 4 Gd 3.46

## Properties
Symmetry = F-43m
E_tot = -6.3406 eV/atom


- Which formula does entry 6 have?
  UNbCdO6